Computed, not measured: a relaxed structure of Ac2TmNi3Sn4 at the PBE level of DFT.

Unit cell a=4.5257 b=4.5257 c=11.7561 alpha=90.00 beta=90.00 gamma=90.00
Element x y z (fractional)
Sn: 0.5000 0.0000 0.6612
Sn: 0.0000 0.0000 0.0000
Sn: 0.0000 0.5000 0.3388
Sn: 0.5000 0.5000 0.0000
Ac: 0.5000 0.0000 0.2301
Ac: 0.0000 0.5000 0.7699
Tm: 0.5000 0.5000 0.5000
Ni: 0.0000 0.0000 0.5000
Ni: 0.5000 0.0000 0.8835
Ni: 0.0000 0.5000 0.1165

Output
density of states at the Fermi level: 6.3 states/eV/cell
M_tot: 0.00 μB per atom
volume: 240.8 Å³ per cell
space-group type: P-4m2 (115)
uncorrected energy: -0.1884 Ha/atom
formation energy from the elements: -5.2 eV per formula unit

---

Computed, not measured: a relaxed structure of Ac2ZnNi4Sn3 at the PBE level of DFT.

Unit cell a=4.5240 b=4.5240 c=10.2566 alpha=90.00 beta=90.00 gamma=90.00
Element x y z (fractional)
Sn: 0.0000 0.5000 0.1237
Sn: 0.5000 0.0000 0.8763
Sn: 0.0000 0.0000 0.5000
Ac: 0.0000 0.5000 0.7531
Ac: 0.5000 0.0000 0.2469
Zn: 0.5000 0.5000 0.5000
Ni: 0.0000 0.0000 0.0000
Ni: 0.5000 0.5000 0.0000
Ni: 0.0000 0.5000 0.3772
Ni: 0.5000 0.0000 0.6228

Output
density of states at the Fermi level: 7.1 states/eV/cell
M_tot: 0.00 μB per atom
volume: 209.9 Å³ per cell
space-group type: P-4m2 (115)
uncorrected energy: -0.1813 Ha/atom
formation energy from the elements: -4.7 eV per formula unit

---

Computed, not measured: a relaxed structure of Ac2Zn3NiSn4 at the PBE level of DFT.

Unit cell a=4.7010 b=4.7010 c=10.9527 alpha=90.00 beta=90.00 gamma=90.00
Element x y z (fractional)
Zn: 0.0000 0.0000 0.5000
Zn: 0.5000 0.0000 0.8583
Zn: 0.0000 0.5000 0.1417
Sn: 0.0000 0.0000 0.0000
Sn: 0.0000 0.5000 0.3832
Sn: 0.5000 0.0000 0.6168
Sn: 0.5000 0.5000 0.0000
Ac: 0.5000 0.0000 0.2713
Ac: 0.0000 0.5000 0.7287
Ni: 0.5000 0.5000 0.5000

Output
density of states at the Fermi level: 2.5 states/eV/cell
M_tot: 0.00 μB per atom
volume: 242.1 Å³ per cell
space-group type: P-4m2 (115)
uncorrected energy: -0.1400 Ha/atom
formation energy from the elements: -4.3 eV per formula unit

---

Computed, not measured: a relaxed structure of Ac2ZnNi3Sn4 at the PBE level of DFT.

Unit cell a=4.5923 b=4.5923 c=10.5678 alpha=90.00 beta=90.00 gamma=90.00
Element x y z (fractional)
Sn: 0.0000 0.5000 0.3666
Sn: 0.5000 0.5000 0.0000
Sn: 0.5000 0.0000 0.6334
Sn: 0.0000 0.0000 0.0000
Zn: 0.5000 0.5000 0.5000
Ac: 0.5000 0.0000 0.2545
Ac: 0.0000 0.5000 0.7455
Ni: 0.0000 0.5000 0.1215
Ni: 0.5000 0.0000 0.8785
Ni: 0.0000 0.0000 0.5000

Output
density of states at the Fermi level: 5.7 states/eV/cell
M_tot: 0.00 μB per atom
volume: 222.9 Å³ per cell
space-group type: P-4m2 (115)
uncorrected energy: -0.1765 Ha/atom
formation energy from the elements: -5.2 eV per formula unit

---

Computed, not measured: a relaxed structure of Sr2AcNi9 at the PBE level of DFT.

Unit cell a=5.1670 b=5.1670 c=8.8334 alpha=72.99 beta=72.99 gamma=60.00
Site moments in Bohr magnetons follow the coordinates.
Element x y z (fractional)
Ac: 0.0000 0.0000 0.0000  -0.04
Ni: 0.5762 0.0852 0.7625  0.25
Ni: 0.0852 0.5762 0.7625  0.25
Ni: 0.4238 0.9148 0.2375  0.25
Ni: 0.5762 0.5762 0.7625  0.25
Ni: 0.4238 0.4238 0.2375  0.25
Ni: 0.6683 0.6683 0.9950  0.29
Ni: 0.9148 0.4238 0.2375  0.25
Ni: 0.5000 0.5000 0.5000  0.13
Ni: 0.3317 0.3317 0.0050  0.29
Sr: 0.1419 0.1419 0.5744  -0.02
Sr: 0.8581 0.8581 0.4256  -0.02

Output
density of states at the Fermi level: 12.1 states/eV/cell
M_tot: 0.16 μB per atom
volume: 192.2 Å³ per cell
space-group type: R-3m (166)
uncorrected energy: -0.1857 Ha/atom
formation energy from the elements: -1.1 eV per formula unit

---

Computed, not measured: a relaxed structure of SrAcNi at the PBE level of DFT.

Unit cell a=3.7451 b=3.7451 c=7.4827 alpha=104.49 beta=104.49 gamma=90.00
Element x y z (fractional)
Ni: 0.6785 0.6785 0.3569
Ac: 0.2862 0.2862 0.5724
Sr: 0.0353 0.0353 0.0707

Output
density of states at the Fermi level: 2.9 states/eV/cell
M_tot: 0.00 μB per atom
volume: 98.2 Å³ per cell
space-group type: I4mm (107)
uncorrected energy: -0.1426 Ha/atom
formation energy from the elements: -0.1 eV per formula unit

---

Computed, not measured: a relaxed structure of SrAc2Ni at the PBE level of DFT.

Unit cell a=4.1261 b=7.7320 c=10.5263 alpha=83.12 beta=101.30 gamma=90.00
Element x y z (fractional)
Ni: 0.2569 0.2454 0.5138
Ni: 0.7431 0.7546 0.4862
Sr: 0.5028 0.7513 0.0056
Sr: 0.4972 0.2487 0.9944
Ac: 0.3230 0.5649 0.6459
Ac: 0.8327 0.0436 0.6653
Ac: 0.1673 0.9564 0.3347
Ac: 0.6770 0.4351 0.3541

Output
density of states at the Fermi level: 8.7 states/eV/cell
M_tot: 0.00 μB per atom
volume: 326.8 Å³ per cell
space-group type: C2/m (12)
uncorrected energy: -0.1464 Ha/atom
formation energy from the elements: -0.3 eV per formula unit

---

Computed, not measured: a relaxed structure of Sr2AcNi at the PBE level of DFT.

Unit cell a=4.2391 b=4.2392 c=18.2225 alpha=90.00 beta=90.01 gamma=90.00
Element x y z (fractional)
Ac: 0.2504 0.3364 0.5790
Ac: 0.7496 0.8364 0.4210
Sr: 0.7499 0.8362 0.0832
Sr: 0.2501 0.3362 0.9168
Sr: 0.2496 0.3359 0.2519
Sr: 0.7504 0.8359 0.7481
Ni: 0.2494 0.3371 0.4157
Ni: 0.7506 0.8371 0.5843

Output
density of states at the Fermi level: 6.4 states/eV/cell
M_tot: 0.00 μB per atom
volume: 327.5 Å³ per cell
space-group type: P2_1/m (11)
uncorrected energy: -0.1257 Ha/atom
formation energy from the elements: -0.4 eV per formula unit

---

Computed, not measured: a relaxed structure of SrAc2Ni6 at the PBE level of DFT.

Unit cell a=4.2639 b=7.0955 c=7.0955 alpha=120.00 beta=90.00 gamma=90.00
Element x y z (fractional)
Ni: 0.5000 0.3344 0.3344
Ni: 0.5000 0.0000 0.6656
Ni: 0.5000 0.3344 0.0000
Ni: 0.5000 0.0000 0.3344
Ni: 0.5000 0.6656 0.0000
Ni: 0.5000 0.6656 0.6656
Sr: 0.0000 0.0000 0.0000
Ac: 0.0000 0.3333 0.6667
Ac: 0.0000 0.6667 0.3333

Output
density of states at the Fermi level: 7.6 states/eV/cell
M_tot: 0.00 μB per atom
volume: 185.9 Å³ per cell
space-group type: P6/mmm (191)
uncorrected energy: -0.1891 Ha/atom
formation energy from the elements: -1.7 eV per formula unit

---

Computed, not measured: a relaxed structure of SrAcNi at the PBE level of DFT.

Unit cell a=4.2145 b=4.1356 c=12.3070 alpha=99.67 beta=90.00 gamma=90.00
Element x y z (fractional)
Ni: 0.7500 0.5301 0.0602
Ni: 0.2500 0.4699 0.9398
Ac: 0.2500 0.0658 0.1316
Ac: 0.7500 0.9342 0.8684
Sr: 0.2500 0.3134 0.6268
Sr: 0.7500 0.6866 0.3732

Output
density of states at the Fermi level: 5.2 states/eV/cell
M_tot: 0.00 μB per atom
volume: 211.5 Å³ per cell
space-group type: Cmcm (63)
uncorrected energy: -0.1475 Ha/atom
formation energy from the elements: -0.5 eV per formula unit

---

Computed, not measured: a relaxed structure of SrAcNi at the PBE level of DFT.

Unit cell a=7.0714 b=4.2730 c=4.2730 alpha=120.00 beta=90.00 gamma=90.00
Element x y z (fractional)
Ac: 0.2224 0.3333 0.6667
Ni: 0.0154 0.0000 0.0000
Sr: 0.7622 0.6667 0.3333

Output
density of states at the Fermi level: 2.7 states/eV/cell
M_tot: 0.00 μB per atom
volume: 111.8 Å³ per cell
space-group type: P3m1 (156)
uncorrected energy: -0.1446 Ha/atom
formation energy from the elements: -0.2 eV per formula unit

---

Computed, not measured: a relaxed structure of Sr3AcNi at the PBE level of DFT.

Unit cell a=5.9462 b=5.9462 c=5.9462 alpha=90.00 beta=90.00 gamma=90.00
Element x y z (fractional)
Sr: 0.0000 0.5000 0.0000
Sr: 0.5000 0.0000 0.0000
Sr: 0.0000 0.0000 0.5000
Ac: 0.5000 0.5000 0.5000
Ni: 0.0000 0.0000 0.0000

Output
density of states at the Fermi level: 3.8 states/eV/cell
M_tot: 0.00 μB per atom
volume: 210.2 Å³ per cell
space-group type: Pm-3m (221)
uncorrected energy: -0.1052 Ha/atom
formation energy from the elements: 0.6 eV per formula unit